Entry 1:
{"formula": "CrCdW2", "functional": "PBE", "state": "relaxed", "spacegroup": "Cm", "magmom_total_mub_per_cell": 0.00, "mass_density_g_cm3": 13.76, "total_energy_ev_per_atom": -8.46, "lattice": [[-2.7785, -1.9363, 3.4790], [-0.4616, -1.2990, 4.6554], [-2.0394, 4.4761, 1.5915]], "species": ["Cd", "Cr", "W", "W"], "frac_coords": [[0.4978, 0.4978, 0.5079], [0.7492, 0.7492, 0.7542], [0.0028, 0.0028, 0.9969], [0.2502, 0.2502, 0.2409]]}

Entry 2:
{"formula": "CrCdW2", "functional": "PBE", "state": "relaxed", "spacegroup": "F-43m", "magmom_total_mub_per_cell": 2.22, "mass_density_g_cm3": 13.54, "total_energy_ev_per_atom": -8.50, "lattice": [[-1.4240, 2.4746, 3.5041], [-0.3537, -3.7448, 2.5062], [3.9105, 0.9994, -2.0345]], "species": ["Cd", "Cr", "W", "W"], "frac_coords": [[0.5000, 0.5000, 0.0000], [0.7500, 0.2500, 0.5000], [0.0000, 0.0000, 0.0000], [0.2500, 0.7500, 0.5000]]}

Entry 3:
{"formula": "CrCdW2", "functional": "PBE", "state": "relaxed", "spacegroup": "C2/m", "magmom_total_mub_per_cell": 0.00, "mass_density_g_cm3": 13.87, "total_energy_ev_per_atom": -8.53, "lattice": [[-0.7007, 5.2279, -0.1596], [-1.5416, -2.4944, 4.4380], [1.9629, 0.7939, 1.6614]], "species": ["Cd", "Cr", "W", "W"], "frac_coords": [[0.0000, 0.5000, 0.5000], [0.5000, 0.5000, 0.0000], [0.0000, 0.0000, 0.0000], [0.5000, 0.0000, 0.5000]]}

Copy entry 1 word for word.
{"formula": "CrCdW2", "functional": "PBE", "state": "relaxed", "spacegroup": "Cm", "magmom_total_mub_per_cell": 0.00, "mass_density_g_cm3": 13.76, "total_energy_ev_per_atom": -8.46, "lattice": [[-2.7785, -1.9363, 3.4790], [-0.4616, -1.2990, 4.6554], [-2.0394, 4.4761, 1.5915]], "species": ["Cd", "Cr", "W", "W"], "frac_coords": [[0.4978, 0.4978, 0.5079], [0.7492, 0.7492, 0.7542], [0.0028, 0.0028, 0.9969], [0.2502, 0.2502, 0.2409]]}